Density functional theory data (GGA-PBE) for crystalline Sc7Te2Ir2 at its relaxed geometry.

Cell: 3.784 8.739 8.739 Å, 60.74 77.50 77.50°
Positions (direct):
Sc: 0.814 0.078 0.293
Sc: 0.853 0.407 0.887
Sc: 0.500 0.026 0.974
Sc: 0.633 0.477 0.258
Sc: 0.367 0.742 0.523
Sc: 0.186 0.707 0.922
Sc: 0.147 0.113 0.593
Te: 0.000 0.763 0.237
Te: 0.500 0.362 0.638
Ir: 0.735 0.854 0.675
Ir: 0.265 0.325 0.146

- Uncorrected energy: -7.0921 eV/atom
- DOS at the Fermi energy: 10.0 states/eV per cell
- ΔE_f (raw): -0.8806 eV/atom
- Space group: Imm2 (44)